[1]
DFT (PBE-GGA) results for an optimized crystal structure of Pu2PaTl3Te6.

Cell: 7.761 7.761 8.610 Å, 98.63 98.63 119.97°
Positions (direct):
1 Pu 0.166 0.834 0.000
2 Pu 0.834 0.166 0.000
3 Pa 0.500 0.500 0.000
4 Tl 0.000 0.000 0.500
5 Tl 0.331 0.669 0.500
6 Tl 0.669 0.331 0.500
7 Te 0.104 0.429 0.786
8 Te 0.248 0.248 0.217
9 Te 0.429 0.104 0.786
10 Te 0.571 0.896 0.214
11 Te 0.752 0.752 0.783
12 Te 0.896 0.571 0.214

Output
DOS at the Fermi energy = 31.6 states/eV/cell
total magnetization = 1.00 μB/atom
SG = C2/m
energy = -73.23 eV for the cell shown
formation energy from raw total energies = -760.1 meV/atom



[2]
DFT (PBE-GGA) results for an optimized crystal structure of Sm3ErAu3.

Cell: 7.254 7.254 7.290 Å, 91.00 91.00 96.55°
Positions (direct):
1 Sm 0.178 0.822 0.000
2 Sm 0.258 0.742 0.500
3 Sm 0.351 0.351 0.130
4 Sm 0.649 0.649 0.870
5 Sm 0.742 0.258 0.500
6 Sm 0.822 0.178 0.000
7 Er 0.255 0.255 0.625
8 Er 0.745 0.745 0.375
9 Au 0.019 0.499 0.777
10 Au 0.066 0.066 0.314
11 Au 0.499 0.019 0.777
12 Au 0.501 0.981 0.223
13 Au 0.934 0.934 0.686
14 Au 0.981 0.501 0.223

Output
DOS at the Fermi energy = 10.8 states/eV/cell
total magnetization = 0.00 μB/atom
ΔE_f = -619 meV per atom
SG = C2/m
energy = -65.77 eV for the cell shown



[3]
DFT (PBE-GGA) results for an optimized crystal structure of Rb2TbUTe4.

Cell: 7.882 4.549 8.976 Å, 90.00 107.03 90.00°
Positions (direct):
1 Rb 0.000 0.000 0.000
2 Rb 0.500 0.500 0.000
3 Tb 0.000 0.500 0.500
4 U 0.500 0.000 0.500
5 Te 0.231 0.000 0.701
6 Te 0.264 0.500 0.298
7 Te 0.736 0.500 0.702
8 Te 0.769 0.000 0.299

Output
DOS at the Fermi energy = 9.0 states/eV/cell
total magnetization = 0.38 μB/atom
SG = P2/m
energy = -39.22 eV for the cell shown
formation energy from raw total energies = -1100.6 meV/atom



[4]
DFT (PBE-GGA) results for an optimized crystal structure of KSn2Ge2.

Cell: 6.903 6.903 6.903 Å, 138.05 138.05 60.83°
Positions (direct):
1 K 0.000 0.000 0.000
2 Sn 0.250 0.750 0.500
3 Sn 0.750 0.250 0.500
4 Ge 0.380 0.380 0.000
5 Ge 0.620 0.620 0.000

Output
DOS at the Fermi energy = 1.7 states/eV/cell
total magnetization = 0.00 μB/atom
ΔE_f = -60 meV per atom
SG = I4/mmm
energy = -18.64 eV for the cell shown
E above lowest polymorph = 0 meV/atom



[5]
DFT (PBE-GGA) results for an optimized crystal structure of SmUS.

Cell: 13.683 13.683 13.683 Å, 16.75 16.75 16.75°
Positions (direct):
1 Sm 0.088 0.088 0.088
2 Sm 0.912 0.912 0.912
3 U 0.347 0.347 0.347
4 U 0.653 0.653 0.653
5 S 0.213 0.213 0.213
6 S 0.787 0.787 0.787

Output
DOS at the Fermi energy = 7.2 states/eV/cell
total magnetization = 0.46 μB/atom
SG = R-3m
energy = -43.68 eV for the cell shown
formation energy from raw total energies = -568.6 meV/atom



[6]
DFT (PBE-GGA) results for an optimized crystal structure of GaGeMo3.

Cell: 7.038 7.038 7.174 Å, 106.08 106.08 78.50°
Positions (direct):
1 Ga 0.065 0.935 0.750
2 Ga 0.399 0.601 0.250
3 Ga 0.601 0.399 0.750
4 Ga 0.935 0.065 0.250
5 Ge 0.148 0.554 0.662
6 Ge 0.446 0.852 0.838
7 Ge 0.554 0.148 0.162
8 Ge 0.852 0.446 0.338
9 Mo 0.001 0.322 0.030
10 Mo 0.054 0.735 0.368
11 Mo 0.265 0.946 0.132
12 Mo 0.303 0.318 0.391
13 Mo 0.318 0.303 0.891
14 Mo 0.322 0.001 0.530
15 Mo 0.678 0.999 0.470
16 Mo 0.682 0.697 0.109
17 Mo 0.697 0.682 0.609
18 Mo 0.735 0.054 0.868
19 Mo 0.946 0.265 0.632
20 Mo 0.999 0.678 0.970

Output
DOS at the Fermi energy = 10.3 states/eV/cell
total magnetization = 0.00 μB/atom
ΔE_f = 188 meV per atom
SG = C2/c
energy = -156.78 eV for the cell shown
E above lowest polymorph = 0 meV/atom